[1]
# BaTc2Sb | Alexandria via LeMat-Bulk | SCAN | single point on PBEsol structure
# **Uncorrected formation energy**: 0.99 eV per atom
# **DOS at the Fermi energy**: 7.46 states/eV/cell
# **Total energy**: -285.91 eV/cell
data_BaTc2Sb
_cell_length_a 3.242
_cell_length_b 5.700
_cell_length_c 9.165
_cell_angle_alpha 90.00
_cell_angle_beta 90.00
_cell_angle_gamma 90.00
_symmetry_space_group_name_H-M 'I m m m'
_symmetry_Int_Tables_number 71
_symmetry_space_group_name_Hall '-I 2 2'
loop_
_atom_site_label
_atom_site_type_symbol
_atom_site_fract_x
_atom_site_fract_y
_atom_site_fract_z
_atom_site_occupancy
Ba1 Ba 0.000 0.000 0.000 1
Tc1 Tc 0.000 0.500 0.225 1
Sb1 Sb 0.000 0.000 0.500 1

=====

[2]
# BaTcSbTe2 | Alexandria via LeMat-Bulk | SCAN | single point on PBEsol structure
# **Uncorrected formation energy**: -0.39 eV per atom
# **DOS at the Fermi energy**: 2.24 states/eV/cell
# **Total energy**: -188.32 eV/cell
data_BaTcSbTe2
_cell_length_a 5.509
_cell_length_b 5.509
_cell_length_c 5.014
_cell_angle_alpha 90.00
_cell_angle_beta 90.00
_cell_angle_gamma 90.00
_symmetry_space_group_name_H-M 'P 4/m m m'
_symmetry_Int_Tables_number 123
_symmetry_space_group_name_Hall '-P 4 2'
loop_
_atom_site_label
_atom_site_type_symbol
_atom_site_fract_x
_atom_site_fract_y
_atom_site_fract_z
_atom_site_occupancy
Ba1 Ba 0.000 0.000 0.000 1
Tc1 Tc 0.500 0.500 0.500 1
Sb1 Sb 0.500 0.500 0.000 1
Te1 Te 0.000 0.500 0.500 1

=====

[3]
# BaSbTe3 | Alexandria via LeMat-Bulk | SCAN | single point on PBEsol structure
# **Uncorrected formation energy**: -0.86 eV per atom
# **DOS at the Fermi energy**: 5.41 states/eV/cell
# **Total energy**: -1542.97 eV/cell
data_BaSbTe3
_cell_length_a 4.461
_cell_length_b 16.926
_cell_length_c 18.079
_cell_angle_alpha 90.00
_cell_angle_beta 90.00
_cell_angle_gamma 90.00
_symmetry_space_group_name_H-M 'P 21 21 21'
_symmetry_Int_Tables_number 19
_symmetry_space_group_name_Hall 'P 2ac 2ab'
loop_
_atom_site_label
_atom_site_type_symbol
_atom_site_fract_x
_atom_site_fract_y
_atom_site_fract_z
_atom_site_occupancy
Ba1 Ba 0.243 0.103 0.404 1
Ba2 Ba 0.247 0.956 0.166 1
Sb1 Sb 0.242 0.279 0.800 1
Sb2 Sb 0.246 0.363 0.031 1
Te1 Te 0.230 0.237 0.557 1
Te2 Te 0.231 0.713 0.808 1
Te3 Te 0.240 0.820 0.592 1
Te4 Te 0.245 0.435 0.734 1
Te5 Te 0.245 0.897 0.366 1
Te6 Te 0.247 0.476 0.475 1

=====

[4]
# Ba2SbTe | Alexandria via LeMat-Bulk | SCAN | single point on PBEsol structure
# **Uncorrected formation energy**: -1.37 eV per atom
# **DOS at the Fermi energy**: 0.79 states/eV/cell
# **Total energy**: -159.10 eV/cell
data_Ba2SbTe
_cell_length_a 4.069
_cell_length_b 4.069
_cell_length_c 8.780
_cell_angle_alpha 90.00
_cell_angle_beta 90.00
_cell_angle_gamma 90.00
_symmetry_space_group_name_H-M 'P 4/m m m'
_symmetry_Int_Tables_number 123
_symmetry_space_group_name_Hall '-P 4 2'
loop_
_atom_site_label
_atom_site_type_symbol
_atom_site_fract_x
_atom_site_fract_y
_atom_site_fract_z
_atom_site_occupancy
Ba1 Ba 0.000 0.000 0.239 1
Sb1 Sb 0.500 0.500 0.500 1
Te1 Te 0.500 0.500 0.000 1

=====

[5]
# Ba2SbTe | Alexandria via LeMat-Bulk | SCAN | single point on PBEsol structure
# **Uncorrected formation energy**: -1.33 eV per atom
# **DOS at the Fermi energy**: 2.72 states/eV/cell
# **Total energy**: -158.95 eV/cell
data_Ba2SbTe
_cell_length_a 6.099
_cell_length_b 6.099
_cell_length_c 3.893
_cell_angle_alpha 90.00
_cell_angle_beta 90.00
_cell_angle_gamma 90.00
_symmetry_space_group_name_H-M 'P 4/m m m'
_symmetry_Int_Tables_number 123
_symmetry_space_group_name_Hall '-P 4 2'
loop_
_atom_site_label
_atom_site_type_symbol
_atom_site_fract_x
_atom_site_fract_y
_atom_site_fract_z
_atom_site_occupancy
Ba1 Ba 0.000 0.500 0.000 1
Sb1 Sb 0.000 0.000 0.500 1
Te1 Te 0.500 0.500 0.500 1

=====

[6]
# BaSbTe2 | Alexandria via LeMat-Bulk | SCAN | single point on PBEsol structure
# **Uncorrected formation energy**: -0.57 eV per atom
# **DOS at the Fermi energy**: 2.38 states/eV/cell
# **Total energy**: -153.59 eV/cell
data_BaSbTe2
_cell_length_a 3.981
_cell_length_b 3.981
_cell_length_c 7.913
_cell_angle_alpha 90.00
_cell_angle_beta 90.00
_cell_angle_gamma 90.00
_symmetry_space_group_name_H-M 'P 4/m m m'
_symmetry_Int_Tables_number 123
_symmetry_space_group_name_Hall '-P 4 2'
loop_
_atom_site_label
_atom_site_type_symbol
_atom_site_fract_x
_atom_site_fract_y
_atom_site_fract_z
_atom_site_occupancy
Ba1 Ba 0.000 0.000 0.000 1
Sb1 Sb 0.000 0.000 0.500 1
Te1 Te 0.500 0.500 0.270 1

=====

[7]
# Ba3SbTe | Alexandria via LeMat-Bulk | SCAN | single point on PBEsol structure
# **Uncorrected formation energy**: -0.82 eV per atom
# **DOS at the Fermi energy**: 3.17 states/eV/cell
# **Total energy**: -197.24 eV/cell
data_Ba3SbTe
_cell_length_a 6.334
_cell_length_b 6.334
_cell_length_c 6.334
_cell_angle_alpha 90.00
_cell_angle_beta 90.00
_cell_angle_gamma 90.00
_symmetry_space_group_name_H-M 'P m -3 m'
_symmetry_Int_Tables_number 221
_symmetry_space_group_name_Hall '-P 4 2 3'
loop_
_atom_site_label
_atom_site_type_symbol
_atom_site_fract_x
_atom_site_fract_y
_atom_site_fract_z
_atom_site_occupancy
Ba1 Ba 0.000 0.000 0.500 1
Sb1 Sb 0.500 0.500 0.500 1
Te1 Te 0.000 0.000 0.000 1

=====

[8]
# BaTiSb2Te | Alexandria via LeMat-Bulk | SCAN | single point on PBEsol structure
# **Uncorrected formation energy**: -0.68 eV per atom
# **DOS at the Fermi energy**: 3.09 states/eV/cell
# **Total energy**: -170.75 eV/cell
data_BaTiSb2Te
_cell_length_a 5.237
_cell_length_b 5.237
_cell_length_c 5.579
_cell_angle_alpha 90.00
_cell_angle_beta 90.00
_cell_angle_gamma 90.00
_symmetry_space_group_name_H-M 'P 4/m m m'
_symmetry_Int_Tables_number 123
_symmetry_space_group_name_Hall '-P 4 2'
loop_
_atom_site_label
_atom_site_type_symbol
_atom_site_fract_x
_atom_site_fract_y
_atom_site_fract_z
_atom_site_occupancy
Ba1 Ba 0.000 0.000 0.000 1
Ti1 Ti 0.500 0.500 0.500 1
Sb1 Sb 0.000 0.500 0.500 1
Te1 Te 0.500 0.500 0.000 1

=====

[9]
# BaYSbTe2 | Alexandria via LeMat-Bulk | SCAN | single point on PBEsol structure
# **Uncorrected formation energy**: -1.01 eV per atom
# **DOS at the Fermi energy**: 3.85 states/eV/cell
# **Total energy**: -184.20 eV/cell
data_BaYSbTe2
_cell_length_a 5.788
_cell_length_b 5.788
_cell_length_c 5.706
_cell_angle_alpha 90.00
_cell_angle_beta 90.00
_cell_angle_gamma 90.00
_symmetry_space_group_name_H-M 'P 4/m m m'
_symmetry_Int_Tables_number 123
_symmetry_space_group_name_Hall '-P 4 2'
loop_
_atom_site_label
_atom_site_type_symbol
_atom_site_fract_x
_atom_site_fract_y
_atom_site_fract_z
_atom_site_occupancy
Ba1 Ba 0.000 0.000 0.000 1
Y1 Y 0.500 0.500 0.500 1
Sb1 Sb 0.500 0.500 0.000 1
Te1 Te 0.000 0.500 0.500 1

=====

[10]
# Ba3TiSb | Alexandria via LeMat-Bulk | SCAN | single point on PBEsol structure
# **Uncorrected formation energy**: 0.32 eV per atom
# **DOS at the Fermi energy**: 4.79 states/eV/cell
# **Total energy**: -170.34 eV/cell
data_Ba3TiSb
_cell_length_a 5.791
_cell_length_b 5.791
_cell_length_c 5.791
_cell_angle_alpha 90.00
_cell_angle_beta 90.00
_cell_angle_gamma 90.00
_symmetry_space_group_name_H-M 'P m -3 m'
_symmetry_Int_Tables_number 221
_symmetry_space_group_name_Hall '-P 4 2 3'
loop_
_atom_site_label
_atom_site_type_symbol
_atom_site_fract_x
_atom_site_fract_y
_atom_site_fract_z
_atom_site_occupancy
Ba1 Ba 0.000 0.000 0.500 1
Ti1 Ti 0.000 0.000 0.000 1
Sb1 Sb 0.500 0.500 0.500 1

=====

[11]
# BaTiSb3 | Alexandria via LeMat-Bulk | SCAN | single point on PBEsol structure
# **Uncorrected formation energy**: -0.54 eV per atom
# **DOS at the Fermi energy**: 2.72 states/eV/cell
# **Total energy**: -170.08 eV/cell
data_BaTiSb3
_cell_length_a 5.302
_cell_length_b 5.302
_cell_length_c 5.302
_cell_angle_alpha 90.00
_cell_angle_beta 90.00
_cell_angle_gamma 90.00
_symmetry_space_group_name_H-M 'P m -3 m'
_symmetry_Int_Tables_number 221
_symmetry_space_group_name_Hall '-P 4 2 3'
loop_
_atom_site_label
_atom_site_type_symbol
_atom_site_fract_x
_atom_site_fract_y
_atom_site_fract_z
_atom_site_occupancy
Ba1 Ba 0.000 0.000 0.000 1
Ti1 Ti 0.500 0.500 0.500 1
Sb1 Sb 0.000 0.500 0.500 1

=====

[12]
# BaTlSb | Alexandria via LeMat-Bulk | SCAN | single point on PBEsol structure
# **Uncorrected formation energy**: -0.79 eV per atom
# **Total energy**: -151.54 eV/cell
data_BaTlSb
_cell_length_a 4.8838
_cell_length_b 4.8838
_cell_length_c 5.1483
_cell_angle_alpha 90.00
_cell_angle_beta 90.00
_cell_angle_gamma 120.00
_symmetry_space_group_name_H-M 'P 3 m 1'
_symmetry_Int_Tables_number 156
_symmetry_space_group_name_Hall 'P 3 -2"'
loop_
_atom_site_label
_atom_site_type_symbol
_atom_site_fract_x
_atom_site_fract_y
_atom_site_fract_z
_atom_site_occupancy
Ba1 Ba 0.0000 0.0000 0.0000 1
Tl1 Tl 0.6667 0.3333 0.3758 1
Sb1 Sb 0.3333 0.6667 0.6124 1